Entry 1:
{
  "formula": "Al3Zn",
  "functional": "PBE-GGA",
  "state": "optimized geometry",
  "volume_a3_per_cell": 66.0,
  "magmom_total_mub_per_cell": 0.00,
  "dft_energy_ev_per_atom": -3.084,
  "lattice": [[2.845, 0.000, 0.000], [0.106, 4.972, 0.000], [1.101, 2.323, 4.663]],
  "species": ["Al", "Al", "Al", "Zn"],
  "fractional_positions": [[0.000, 0.000, 0.000], [0.244, 0.577, 0.504], [0.518, 0.501, 0.002], [0.737, 0.078, 0.502]]
}

=====

Entry 2:
{
  "formula": "AlZn5",
  "functional": "PBE-GGA",
  "state": "optimized geometry",
  "volume_a3_per_cell": 93.9,
  "magmom_total_mub_per_cell": 0.00,
  "dft_energy_ev_per_atom": -1.643,
  "lattice": [[4.603, 0.000, 0.000], [-2.301, 3.986, 0.000], [0.000, 0.000, 5.118]],
  "species": ["Al", "Zn", "Zn", "Zn", "Zn", "Zn"],
  "fractional_positions": [[0.000, 0.000, 0.000], [0.000, 0.667, 0.500], [0.333, 0.333, 0.500], [0.333, 0.667, 0.000], [0.667, 0.000, 0.500], [0.667, 0.333, 0.000]]
}

=====

Which formula does entry 2 have?
AlZn5

=====

Copy entry 1 word for word.
{
  "formula": "Al3Zn",
  "functional": "PBE-GGA",
  "state": "optimized geometry",
  "volume_a3_per_cell": 66.0,
  "magmom_total_mub_per_cell": 0.00,
  "dft_energy_ev_per_atom": -3.084,
  "lattice": [[2.845, 0.000, 0.000], [0.106, 4.972, 0.000], [1.101, 2.323, 4.663]],
  "species": ["Al", "Al", "Al", "Zn"],
  "fractional_positions": [[0.000, 0.000, 0.000], [0.244, 0.577, 0.504], [0.518, 0.501, 0.002], [0.737, 0.078, 0.502]]
}

=====

Which formula does entry 2 have?
AlZn5